A) Density functional theory data (PBE-GGA) for Sn2AsI after structural relaxation.

Magnetization = 0.0 μB/cell
Density = 4.75 g/cm3

Cell and atoms, written as CIF:
```
data_Sn2AsI
_cell_length_a 4.5066
_cell_length_b 4.5066
_cell_length_c 26.2063
_cell_angle_alpha 90.00
_cell_angle_beta 90.00
_cell_angle_gamma 120.00
_space_group_name_H-M_alt 'R -3 m'
_space_group_IT_number 166
_space_group_name_Hall '-R 3 2"'
loop_
_atom_site_label
_atom_site_fract_x
_atom_site_fract_y
_atom_site_fract_z
Sn1 0.0000 0.0000 0.1152
As1 0.0000 0.0000 0.5000
I1 0.0000 0.0000 0.0000
```

B) Density functional theory data (PBE-GGA) for Sn2AsI after structural relaxation.

Magnetization = 0.0 μB/cell
Density = 5.61 g/cm3

Cell and atoms, written as CIF:
```
data_Sn2AsI
_cell_length_a 4.2881
_cell_length_b 4.2881
_cell_length_c 24.4881
_cell_angle_alpha 90.00
_cell_angle_beta 90.00
_cell_angle_gamma 120.00
_space_group_name_H-M_alt 'R 3 m'
_space_group_IT_number 160
_space_group_name_Hall 'R 3 -2"'
loop_
_atom_site_label
_atom_site_fract_x
_atom_site_fract_y
_atom_site_fract_z
Sn1 0.0000 0.0000 0.0000
Sn2 0.0000 0.0000 0.2058
As1 0.0000 0.0000 0.6067
I1 0.0000 0.0000 0.7866
```

C) Density functional theory data (PBE-GGA) for Sn2AsI after structural relaxation.

Magnetization = 0.0 μB/cell
Density = 6.54 g/cm3

Cell and atoms, written as CIF:
```
data_Sn2AsI
_cell_length_a 7.639
_cell_length_b 7.639
_cell_length_c 7.639
_cell_angle_alpha 90.00
_cell_angle_beta 90.00
_cell_angle_gamma 90.00
_space_group_name_H-M_alt 'F m -3 m'
_space_group_IT_number 225
_space_group_name_Hall '-F 4 2 3'
loop_
_atom_site_label
_atom_site_fract_x
_atom_site_fract_y
_atom_site_fract_z
Sn1 0.250 0.250 0.250
As1 0.000 0.000 0.000
I1 0.000 0.000 0.500
```

D) Density functional theory data (PBE-GGA) for Sn2AsI after structural relaxation.

Magnetization = 0.0 μB/cell
Density = 5.81 g/cm3

Cell and atoms, written as CIF:
```
data_Sn2AsI
_cell_length_a 7.539
_cell_length_b 4.358
_cell_length_c 8.049
_cell_angle_alpha 90.00
_cell_angle_beta 108.24
_cell_angle_gamma 90.00
_space_group_name_H-M_alt 'C 1 2/m 1'
_space_group_IT_number 12
loop_
_space_group_symop_operation_xyz
'x,y,z'
'-x,-y,-z'
'-x,y,-z'
'x,-y,z'
'x+1/2,y+1/2,z'
'-x+1/2,-y+1/2,-z'
'-x+1/2,y+1/2,-z'
'x+1/2,-y+1/2,z'
loop_
_atom_site_label
_atom_site_fract_x
_atom_site_fract_y
_atom_site_fract_z
Sn1 0.232 0.000 0.197
As1 0.000 0.500 0.000
I1 0.000 0.000 0.500
```

Most favorable first, least favorable last: D), B), A), C)